--- A ---
{
  "formula": "NaSi3Rh",
  "functional": "PBE-GGA",
  "state": "relaxed",
  "n_ef_per_ev_cell": 4.90,
  "space_group": "Pm-3m (221)",
  "vol_a3_per_atom": 20.74,
  "lattice": [[-2.8897, -0.5998, 3.6551], [-1.9982, -3.6508, -2.1789], [3.1187, -2.8950, 1.9905]],
  "species": ["Si", "Si", "Si", "Rh", "Na"],
  "fractional_positions": [[0.5000, 0.0000, 0.0000], [0.0000, 0.5000, 0.0000], [0.0000, 0.0000, 0.5000], [0.5000, 0.5000, 0.5000], [0.0000, 0.0000, 0.0000]]
}

--- B ---
{
  "formula": "NaSi3Rh",
  "functional": "PBE-GGA",
  "state": "relaxed",
  "n_ef_per_ev_cell": 4.94,
  "space_group": "Pm-3m (221)",
  "vol_a3_per_atom": 20.82,
  "lattice": [[4.7044, 0.0000, 0.0000], [0.0000, 4.7044, 0.0000], [0.0000, 0.0000, 4.7044]],
  "species": ["Na", "Si", "Si", "Si", "Rh"],
  "fractional_positions": [[0.5000, 0.5000, 0.5000], [0.0000, 0.5000, 0.0000], [0.0000, 0.0000, 0.5000], [0.5000, 0.0000, 0.0000], [0.0000, 0.0000, 0.0000]]
}

Each structure's energy above the most stable one, in eV/atom: A 1.420; B 0.000.

--- A ---
{
  "formula": "Na3SiRh",
  "functional": "PBE-GGA",
  "state": "relaxed",
  "n_ef_per_ev_cell": 2.72,
  "space_group": "Pm-3m (221)",
  "vol_a3_per_atom": 28.27,
  "lattice": [[5.2092, 0.0000, 0.0000], [0.0000, 5.2092, 0.0000], [0.0000, 0.0000, 5.2092]],
  "species": ["Na", "Na", "Na", "Si", "Rh"],
  "fractional_positions": [[0.0000, 0.0000, 0.5000], [0.0000, 0.5000, 0.0000], [0.5000, 0.0000, 0.0000], [0.5000, 0.5000, 0.5000], [0.0000, 0.0000, 0.0000]]
}

--- B ---
{
  "formula": "Na3SiRh",
  "functional": "PBE-GGA",
  "state": "relaxed",
  "n_ef_per_ev_cell": 11.68,
  "space_group": "Pm-3m (221)",
  "vol_a3_per_atom": 30.97,
  "lattice": [[-4.7373, -1.3384, -2.1458], [0.8402, -5.1306, 1.3451], [-2.3853, 0.8508, 4.7354]],
  "species": ["Na", "Na", "Na", "Rh", "Si"],
  "fractional_positions": [[0.0000, 0.5000, 0.0000], [0.5000, 0.0000, 0.0000], [0.0000, 0.0000, 0.5000], [0.5000, 0.5000, 0.5000], [0.0000, 0.0000, 0.0000]]
}

Each structure's energy above the most stable one, in eV/atom: A 0.000; B 0.100.

--- A ---
{
  "formula": "NaSm2Rh",
  "functional": "PBE-GGA",
  "state": "relaxed",
  "n_ef_per_ev_cell": 3.62,
  "space_group": "R-3m (166)",
  "vol_a3_per_atom": 36.86,
  "lattice": [[-3.4114, -1.7547, -1.2068], [-0.6235, -0.7076, -3.9094], [3.1694, -10.2794, -0.7135]],
  "species": ["Sm", "Sm", "Na", "Rh"],
  "fractional_positions": [[0.8816, 0.8816, 0.3551], [0.1184, 0.1184, 0.6449], [0.0000, 0.0000, 0.0000], [0.5000, 0.5000, 0.5000]]
}

--- B ---
{
  "formula": "NaSm2Rh",
  "functional": "PBE-GGA",
  "state": "relaxed",
  "n_ef_per_ev_cell": 3.12,
  "space_group": "P4/mmm (123)",
  "vol_a3_per_atom": 29.25,
  "lattice": [[3.5272, 0.0000, 0.0000], [0.0000, 3.5272, 0.0000], [0.0000, 0.0000, 9.4045]],
  "species": ["Rh", "Sm", "Sm", "Na"],
  "fractional_positions": [[0.5000, 0.5000, 0.0000], [0.0000, 0.0000, 0.8244], [0.0000, 0.0000, 0.1756], [0.5000, 0.5000, 0.5000]]
}

Each structure's energy above the most stable one, in eV/atom: A 0.042; B 0.000.

--- A ---
{
  "formula": "Na3SnRh",
  "functional": "PBE-GGA",
  "state": "relaxed",
  "n_ef_per_ev_cell": 17.69,
  "space_group": "Pm-3m (221)",
  "vol_a3_per_atom": 37.35,
  "lattice": [[-0.0885, -0.1165, 5.7142], [-3.3729, -4.6126, -0.1462], [4.6141, -3.3741, 0.0027]],
  "species": ["Sn", "Rh", "Na", "Na", "Na"],
  "fractional_positions": [[0.0000, 0.0000, 0.0000], [0.5000, 0.5000, 0.5000], [0.0000, 0.5000, 0.0000], [0.0000, 0.0000, 0.5000], [0.5000, 0.0000, 0.0000]]
}

--- B ---
{
  "formula": "Na3SnRh",
  "functional": "PBE-GGA",
  "state": "relaxed",
  "n_ef_per_ev_cell": 2.66,
  "space_group": "Pm-3m (221)",
  "vol_a3_per_atom": 29.19,
  "lattice": [[5.2650, 0.0000, 0.0000], [0.0000, 5.2650, 0.0000], [0.0000, 0.0000, 5.2650]],
  "species": ["Rh", "Sn", "Na", "Na", "Na"],
  "fractional_positions": [[0.0000, 0.0000, 0.0000], [0.5000, 0.5000, 0.5000], [0.0000, 0.5000, 0.0000], [0.5000, 0.0000, 0.0000], [0.0000, 0.0000, 0.5000]]
}

Each structure's energy above the most stable one, in eV/atom: A 0.354; B 0.000.

--- A ---
{
  "formula": "NaSn2Rh2",
  "functional": "PBE-GGA",
  "state": "relaxed",
  "n_ef_per_ev_cell": 3.01,
  "space_group": "P4/mbm (127)",
  "vol_a3_per_atom": 18.76,
  "lattice": [[-5.5164, -5.1469, -2.1166], [4.3964, -5.8576, 2.7859], [-1.3302, 0.3016, 2.7335]],
  "species": ["Rh", "Rh", "Rh", "Rh", "Na", "Na", "Sn", "Sn", "Sn", "Sn"],
  "fractional_positions": [[0.8607, 0.6393, 0.0000], [0.6393, 0.1393, 0.0000], [0.3607, 0.8607, 0.0000], [0.1393, 0.3607, 0.0000], [0.5000, 0.5000, 0.0000], [0.0000, 0.0000, 0.0000], [0.8441, 0.3441, 0.5000], [0.3441, 0.1559, 0.5000], [0.6559, 0.8441, 0.5000], [0.1559, 0.6559, 0.5000]]
}

--- B ---
{
  "formula": "NaSn2Rh2",
  "functional": "PBE-GGA",
  "state": "relaxed",
  "n_ef_per_ev_cell": 1.94,
  "space_group": "I4/mmm (139)",
  "vol_a3_per_atom": 22.04,
  "lattice": [[-1.5591, -4.0367, 0.3015], [3.5792, -1.2238, 2.1232], [-1.5426, -1.2641, 6.3030]],
  "species": ["Rh", "Rh", "Sn", "Sn", "Na"],
  "fractional_positions": [[0.7500, 0.2500, 0.5000], [0.2500, 0.7500, 0.5000], [0.6261, 0.6261, 0.7477], [0.3739, 0.3739, 0.2523], [0.0000, 0.0000, 0.0000]]
}

Each structure's energy above the most stable one, in eV/atom: A 0.000; B 0.088.

--- A ---
{
  "formula": "NaSn2Rh2",
  "functional": "PBE-GGA",
  "state": "relaxed",
  "n_ef_per_ev_cell": 3.01,
  "space_group": "I4/mmm (139)",
  "vol_a3_per_atom": 21.82,
  "lattice": [[-0.6536, 4.3170, 1.1221], [-1.2457, -1.2656, 4.1436], [4.1503, 1.8718, 4.2717]],
  "species": ["Na", "Sn", "Sn", "Rh", "Rh"],
  "fractional_positions": [[0.0000, 0.0000, 0.0000], [0.7500, 0.2500, 0.5000], [0.2500, 0.7500, 0.5000], [0.6169, 0.6169, 0.7662], [0.3831, 0.3831, 0.2338]]
}

--- B ---
{
  "formula": "NaSn2Rh2",
  "functional": "PBE-GGA",
  "state": "relaxed",
  "n_ef_per_ev_cell": 7.21,
  "space_group": "Pmma (51)",
  "vol_a3_per_atom": 19.34,
  "lattice": [[-4.5513, -0.0871, 0.0415], [0.1207, -5.2487, 2.2270], [0.0068, 2.9097, 6.8575]],
  "species": ["Sn", "Sn", "Sn", "Sn", "Rh", "Rh", "Rh", "Rh", "Na", "Na"],
  "fractional_positions": [[0.5000, 0.2500, 0.7986], [0.0000, 0.2500, 0.3893], [0.5000, 0.7500, 0.2014], [0.0000, 0.7500, 0.6107], [0.5000, 0.2500, 0.1561], [0.5000, 0.5000, 0.5000], [0.5000, 0.0000, 0.5000], [0.5000, 0.7500, 0.8439], [0.0000, 0.0000, 0.0000], [0.0000, 0.5000, 0.0000]]
}

Each structure's energy above the most stable one, in eV/atom: A 0.065; B 0.000.

--- A ---
{
  "formula": "NaSn3Rh",
  "functional": "PBE-GGA",
  "state": "relaxed",
  "n_ef_per_ev_cell": 6.31,
  "space_group": "Pm-3m (221)",
  "vol_a3_per_atom": 28.27,
  "lattice": [[5.2094, 0.0000, 0.0000], [0.0000, 5.2094, 0.0000], [0.0000, 0.0000, 5.2094]],
  "species": ["Na", "Rh", "Sn", "Sn", "Sn"],
  "fractional_positions": [[0.5000, 0.5000, 0.5000], [0.0000, 0.0000, 0.0000], [0.0000, 0.5000, 0.0000], [0.0000, 0.0000, 0.5000], [0.5000, 0.0000, 0.0000]]
}

--- B ---
{
  "formula": "NaSn3Rh",
  "functional": "PBE-GGA",
  "state": "relaxed",
  "n_ef_per_ev_cell": 5.05,
  "space_group": "Pm-3m (221)",
  "vol_a3_per_atom": 27.88,
  "lattice": [[5.1852, 0.0000, 0.0000], [0.0000, 5.1852, 0.0000], [0.0000, 0.0000, 5.1852]],
  "species": ["Sn", "Sn", "Sn", "Na", "Rh"],
  "fractional_positions": [[0.0000, 0.0000, 0.5000], [0.0000, 0.5000, 0.0000], [0.5000, 0.0000, 0.0000], [0.0000, 0.0000, 0.0000], [0.5000, 0.5000, 0.5000]]
}

Each structure's energy above the most stable one, in eV/atom: A 0.000; B 1.130.

--- A ---
{
  "formula": "NaSr3Rh",
  "functional": "PBE-GGA",
  "state": "relaxed",
  "n_ef_per_ev_cell": 3.14,
  "space_group": "Amm2 (38)",
  "vol_a3_per_atom": 67.79,
  "lattice": [[-1.2474, 2.2764, 3.1841], [-10.2919, -2.5269, -2.2254], [7.8234, -4.2930, 6.1340]],
  "species": ["Sr", "Sr", "Sr", "Rh", "Na"],
  "fractional_positions": [[0.5000, 0.1928, 0.3304], [0.0000, 0.2679, 0.7321], [0.5000, 0.6696, 0.8072], [0.0000, 0.4025, 0.5975], [0.5000, 0.0952, 0.9048]]
}

--- B ---
{
  "formula": "NaSr3Rh",
  "functional": "PBE-GGA",
  "state": "relaxed",
  "n_ef_per_ev_cell": 6.47,
  "space_group": "C2/m (12)",
  "vol_a3_per_atom": 40.31,
  "lattice": [[22.8275, 0.0000, -3.4384], [9.0116, 2.0911, -5.5795], [-9.0116, 2.0911, 5.5795]],
  "species": ["Rh", "Rh", "Na", "Na", "Sr", "Sr", "Sr", "Sr", "Sr", "Sr"],
  "fractional_positions": [[0.4178, 0.0241, 0.9759], [0.5822, 0.9759, 0.0241], [0.1525, 0.0665, 0.9335], [0.8475, 0.9335, 0.0665], [0.5774, 0.5847, 0.4153], [0.4226, 0.4153, 0.5847], [0.9107, 0.6824, 0.3176], [0.6885, 0.2788, 0.7212], [0.3115, 0.7212, 0.2788], [0.0893, 0.3176, 0.6824]]
}

Each structure's energy above the most stable one, in eV/atom: A 0.315; B 0.000.

--- A ---
{
  "formula": "NaSr3Rh",
  "functional": "PBE-GGA",
  "state": "relaxed",
  "n_ef_per_ev_cell": 4.66,
  "space_group": "P4mm (99)",
  "vol_a3_per_atom": 48.62,
  "lattice": [[-3.0767, -3.3795, 1.7832], [3.7240, -2.1390, 2.3714], [-1.7627, 5.8492, 8.0439]],
  "species": ["Sr", "Sr", "Sr", "Na", "Rh"],
  "fractional_positions": [[0.5000, 0.0000, 0.4226], [0.0000, 0.0000, 0.7204], [0.0000, 0.5000, 0.4226], [0.0000, 0.0000, 0.1029], [0.5000, 0.5000, 0.5953]]
}

--- B ---
{
  "formula": "NaSr3Rh",
  "functional": "PBE-GGA",
  "state": "relaxed",
  "n_ef_per_ev_cell": 13.46,
  "space_group": "P2_1/c (14)",
  "vol_a3_per_atom": 40.55,
  "lattice": [[-14.3456, 21.3836, 14.6067], [3.3621, -2.0624, 6.3213], [7.7031, -5.0445, -5.7429]],
  "species": ["Sr", "Sr", "Sr", "Sr", "Sr", "Sr", "Sr", "Sr", "Sr", "Sr", "Sr", "Sr", "Rh", "Rh", "Rh", "Rh", "Na", "Na", "Na", "Na"],
  "fractional_positions": [[0.0394, 0.5761, 0.4345], [0.1405, 0.9116, 0.9768], [0.6405, 0.5884, 0.4768], [0.7392, 0.8825, 0.0743], [0.2608, 0.1175, 0.9257], [0.7608, 0.3825, 0.4257], [0.9606, 0.4239, 0.5655], [0.8595, 0.0884, 0.0232], [0.2392, 0.6175, 0.5743], [0.4606, 0.0761, 0.0655], [0.3595, 0.4116, 0.5232], [0.5394, 0.9239, 0.9345], [0.8746, 0.7467, 0.2122], [0.6254, 0.2467, 0.2878], [0.1254, 0.2533, 0.7878], [0.3746, 0.7533, 0.7122], [0.0948, 0.1353, 0.1678], [0.5948, 0.3647, 0.6678], [0.9052, 0.8647, 0.8322], [0.4052, 0.6353, 0.3322]]
}

Each structure's energy above the most stable one, in eV/atom: A 0.322; B 0.000.

--- A ---
{
  "formula": "NaSr3Rh",
  "functional": "PBE-GGA",
  "state": "relaxed",
  "n_ef_per_ev_cell": 8.31,
  "space_group": "C2/m (12)",
  "vol_a3_per_atom": 41.83,
  "lattice": [[-7.1989, -3.7851, -0.4157], [-0.5620, -7.9315, 1.8413], [-5.8114, 1.8214, 6.0775]],
  "species": ["Rh", "Rh", "Sr", "Sr", "Sr", "Sr", "Sr", "Sr", "Na", "Na"],
  "fractional_positions": [[0.3801, 0.2648, 0.7382], [0.0461, 0.9317, 0.7411], [0.0451, 0.1851, 0.9929], [0.8824, 0.0135, 0.4870], [0.0452, 0.6794, 0.9929], [0.3811, 0.0114, 0.4863], [0.5438, 0.1831, 0.9922], [0.3811, 0.5172, 0.4862], [0.8811, 0.5140, 0.4926], [0.5459, 0.6821, 0.9862]]
}

--- B ---
{
  "formula": "NaSr3Rh",
  "functional": "PBE-GGA",
  "state": "relaxed",
  "n_ef_per_ev_cell": 6.52,
  "space_group": "P-1 (2)",
  "vol_a3_per_atom": 38.82,
  "lattice": [[10.3642, -0.0618, -0.0268], [1.2647, 9.0967, -0.0166], [-0.8629, 0.1249, 4.1160]],
  "species": ["Sr", "Sr", "Sr", "Sr", "Sr", "Sr", "Rh", "Rh", "Na", "Na"],
  "fractional_positions": [[0.6618, 0.4516, 0.2552], [0.9903, 0.3930, 0.9225], [0.5225, 0.8387, 0.1827], [0.7450, 0.0816, 0.7974], [0.1297, 0.0059, 0.9950], [0.9071, 0.7631, 0.3804], [0.9345, 0.1557, 0.3948], [0.7178, 0.6888, 0.7832], [0.3593, 0.2324, 0.6107], [0.2927, 0.6123, 0.5662]]
}

--- C ---
{
  "formula": "NaSr3Rh",
  "functional": "PBE-GGA",
  "state": "relaxed",
  "n_ef_per_ev_cell": 6.51,
  "space_group": "P6_3/mmc (194)",
  "vol_a3_per_atom": 46.66,
  "lattice": [[4.3392, -2.5052, 0.0000], [0.0000, 5.0105, 0.0000], [0.0000, 0.0000, 21.4622]],
  "species": ["Na", "Na", "Sr", "Sr", "Sr", "Sr", "Sr", "Sr", "Rh", "Rh"],
  "fractional_positions": [[0.0000, 0.0000, 0.5000], [0.0000, 0.0000, 0.0000], [0.6667, 0.3333, 0.3833], [0.6667, 0.3333, 0.1167], [0.3333, 0.6667, 0.8833], [0.3333, 0.6667, 0.6167], [0.0000, 0.0000, 0.7500], [0.0000, 0.0000, 0.2500], [0.3333, 0.6667, 0.7500], [0.6667, 0.3333, 0.2500]]
}

--- D ---
{
  "formula": "NaSr3Rh",
  "functional": "PBE-GGA",
  "state": "relaxed",
  "n_ef_per_ev_cell": 6.06,
  "space_group": "C2/m (12)",
  "vol_a3_per_atom": 38.68,
  "lattice": [[6.7928, -0.0212, -1.0128], [-3.3540, 5.7729, -1.6095], [0.4885, -0.2761, 9.9087]],
  "species": ["Sr", "Sr", "Sr", "Sr", "Sr", "Sr", "Rh", "Rh", "Na", "Na"],
  "fractional_positions": [[0.0421, 0.1702, 0.2124], [0.3072, 0.4068, 0.7140], [0.9579, 0.8298, 0.7876], [0.6880, 0.2122, 0.9002], [0.6928, 0.5932, 0.2860], [0.3120, 0.7878, 0.0998], [0.6892, 0.6892, 0.0000], [0.3108, 0.3108, 0.0000], [0.7219, 0.2219, 0.5000], [0.2781, 0.7781, 0.5000]]
}

Each structure's energy above the most stable one, in eV/atom: A 0.078; B 0.000; C 0.268; D 0.010.

--- A ---
{
  "formula": "NaSr6Rh",
  "functional": "PBE-GGA",
  "state": "relaxed",
  "n_ef_per_ev_cell": 11.84,
  "space_group": "C2/c (15)",
  "vol_a3_per_atom": 47.09,
  "lattice": [[7.3387, 0.0000, 0.0000], [-3.6693, 7.0819, -1.5327], [0.0000, 0.1141, 14.4713]],
  "species": ["Sr", "Sr", "Sr", "Sr", "Sr", "Sr", "Sr", "Sr", "Sr", "Sr", "Sr", "Sr", "Rh", "Rh", "Na", "Na"],
  "fractional_positions": [[0.8730, 0.5682, 0.3256], [0.1626, 0.1520, 0.8919], [0.6952, 0.5682, 0.8256], [0.5680, 0.2867, 0.5330], [0.1270, 0.4318, 0.6744], [0.7187, 0.2867, 0.0330], [0.9894, 0.1520, 0.3919], [0.0106, 0.8480, 0.6081], [0.3048, 0.4318, 0.1744], [0.8374, 0.8480, 0.1081], [0.2813, 0.7133, 0.9670], [0.4320, 0.7133, 0.4670], [0.0000, 0.5000, 0.5000], [0.5000, 0.5000, 0.0000], [0.5832, 0.0000, 0.7500], [0.4168, 0.0000, 0.2500]]
}

--- B ---
{
  "formula": "NaSr6Rh",
  "functional": "PBE-GGA",
  "state": "relaxed",
  "n_ef_per_ev_cell": 5.22,
  "space_group": "C2/m (12)",
  "vol_a3_per_atom": 49.07,
  "lattice": [[7.4195, 0.3419, 0.0000], [2.1323, 9.2823, 0.0000], [1.0661, 4.6411, 5.7609]],
  "species": ["Sr", "Sr", "Sr", "Sr", "Sr", "Sr", "Rh", "Na"],
  "fractional_positions": [[0.2222, 0.7799, 0.6407], [0.2222, 0.4207, 0.3593], [0.7778, 0.2201, 0.3593], [0.7778, 0.5793, 0.6407], [0.5889, 0.7780, 0.0000], [0.4111, 0.2220, 0.0000], [0.5000, 0.5000, 0.0000], [0.0000, 0.0000, 0.0000]]
}

Each structure's energy above the most stable one, in eV/atom: A 0.000; B 0.036.